Below is crystalline Se2INF at its relaxed geometry, with properties calculated at the PBE level.

Cell lengths 4.579, 4.579, 5.089 Å; angles 90.00, 90.00, 90.00 degrees
Element x y z (fractional)
1 Se 0.500 0.000 0.000
2 Se 0.000 0.500 0.000
3 I 0.500 0.500 0.500
4 F 0.000 0.000 0.000
5 N 0.000 0.000 0.500

Computed properties:
Crystal system   tetragonal
Calculated total energy   -2.4594 eV/atom
DOS at the Fermi energy   4.18 states/eV/cell
Symmetry   No. 123
Energy above the most stable polymorph in this dataset   0 meV per atom
Total moment   0.497 μB per atom

***

Below is crystalline Se2INF at its relaxed geometry, with properties calculated at the PBE level.

Cell lengths 5.648, 5.648, 3.959 Å; angles 90.00, 90.00, 90.00 degrees
Element x y z (fractional)
1 I 0.000 0.000 0.000
2 Se 0.500 0.000 0.000
3 Se 0.000 0.500 0.000
4 N 0.000 0.000 0.500
5 F 0.500 0.500 0.500

Computed properties:
Crystal system   tetragonal
Calculated total energy   -2.4405 eV/atom
DOS at the Fermi energy   3.75 states/eV/cell
Symmetry   No. 123
Energy above the most stable polymorph in this dataset   19 meV per atom
Total moment   0.623 μB per atom

***

Below is crystalline SnIN2F at its relaxed geometry, with properties calculated at the PBE level.

Cell lengths 4.848, 4.848, 4.354 Å; angles 90.00, 90.00, 90.00 degrees
Element x y z (fractional)
1 F 0.000 0.000 0.000
2 N 0.000 0.500 0.000
3 N 0.500 0.000 0.000
4 Sn 0.500 0.500 0.500
5 I 0.000 0.000 0.500

Computed properties:
Crystal system   tetragonal
Calculated total energy   -3.0943 eV/atom
DOS at the Fermi energy   1.52 states/eV/cell
Symmetry   No. 123
Energy above the most stable polymorph in this dataset   1102 meV per atom
Total moment   0.867 μB per atom